A geometry-optimized CeEr5Ir4 structure, computed with GGA-PBE.

```
CeEr5Ir4
1.0
9.0621 -2.0748 0.0000
9.0621 2.0748 0.0000
-3.0343 0.0000 6.7774
Ce Er Ir
1 5 4
Direct
0.0000 0.0000 0.0000 Ce
0.0000 0.0000 0.5000 Er
0.3337 0.3337 0.0764 Er
0.3338 0.3338 0.5904 Er
0.6662 0.6662 0.4096 Er
0.6663 0.6663 0.9236 Er
0.2012 0.2012 0.2014 Ir
0.4999 0.4999 0.2516 Ir
0.5001 0.5001 0.7484 Ir
0.7988 0.7988 0.7986 Ir
```

Total DFT energy (no corrections), eV per atom: -7.129
Density of states at the Fermi level, states/eV/f.u.: 6.68
DFT formation energy, meV per atom: -710